Record 1
Below is a relaxed Nd2PbSe4 crystal, with properties calculated at the GGA-PBE level.

Cell and atoms, written as CIF:
```
data_Nd2PbSe4
_chemical_formula_sum 'Nd8 Pb4 Se16'
_symmetry_space_group_name_H-M 'C m c m'
_symmetry_Int_Tables_number 63
_symmetry_space_group_name_Hall '-C 2c 2'
_cell_length_a 4.232
_cell_length_b 13.963
_cell_length_c 14.508
_cell_angle_alpha 90.00
_cell_angle_beta 90.00
_cell_angle_gamma 90.00
loop_
_atom_site_label
_atom_site_fract_x
_atom_site_fract_y
_atom_site_fract_z
Nd1 0.000 0.135 0.069
Pb1 0.000 0.392 0.250
Se1 0.000 0.039 0.250
Se2 0.000 0.229 0.617
Se3 0.000 0.500 0.000
```

## Properties
The relative energy among the computed polymorphs comes out at 21 meV/atom. The final energy comes out at -5.348 eV per atom. The energy relative to the elements, uncorrected comes out at -1.465 eV per atom. The calculation puts the size of the total moment at 0.00 μB/cell.

=====

Record 2
Below is a relaxed BaAlGaAg3 crystal, with properties calculated at the GGA-PBE level.

Cell and atoms, written as CIF:
```
data_BaAlGaAg3
_chemical_formula_sum 'Ba4 Al4 Ga4 Ag12'
_symmetry_space_group_name_H-M 'C m c m'
_symmetry_Int_Tables_number 63
_symmetry_space_group_name_Hall '-C 2c 2'
_cell_length_a 6.938
_cell_length_b 13.031
_cell_length_c 6.535
_cell_angle_alpha 90.00
_cell_angle_beta 90.00
_cell_angle_gamma 90.00
loop_
_atom_site_label
_atom_site_fract_x
_atom_site_fract_y
_atom_site_fract_z
Ba1 0.000 0.225 0.250
Al1 0.000 0.484 0.250
Ga1 0.000 0.120 0.750
Ag1 0.000 0.321 0.750
Ag2 0.208 0.000 0.000
```

## Properties
The final energy comes out at -2.993 eV per atom. For the density of states at the Fermi level, the calculation gives 11.5 states/eV per cell. The calculation puts the size of the total moment at 0.00 μB/cell.

=====

What is the final energy in the second record? -2.993 eV per atom